Computed, not measured: TcRuPt2 at its PBEsol-relaxed geometry at the SCAN level of DFT.

a = 2.7046 Å, b = 2.7046 Å, c = 27.0466 Å
α = 90.00°, β = 90.00°, γ = 120.00°
Space group R3m (No. 160, hexagonal axes)
Symmetry-distinct sites (fractional):
Tc 0.0000 0.0000 0.0000 (multiplicity 3)
Ru 0.0000 0.0000 0.7428 (multiplicity 3)
Pt 0.0000 0.0000 0.2495 (multiplicity 3)
Pt 0.0000 0.0000 0.4945 (multiplicity 3)

Calculated values
Density of states at the Fermi level (states/eV/f.u.): 3.6
Energy relative to the elements (meV per atom): -94
Electronic total energy (eV/atom): -52.662
M_tot (Bohr magnetons per cell): 0.00
Excess energy over the best structure of this formula in the dataset (meV per atom): 46

=====

Computed, not measured: TcRuPt2 at its PBEsol-relaxed geometry at the SCAN level of DFT.

a = 9.048 Å, b = 2.694 Å, c = 4.727 Å
α = 90.00°, β = 99.65°, γ = 90.00°
Space group Cm (No. 8)
Symmetry-distinct sites (fractional):
Tc 0.000 0.000 0.000 (multiplicity 2)
Ru 0.243 0.500 0.231 (multiplicity 2)
Pt 0.250 0.000 0.746 (multiplicity 2)
Pt 0.493 0.000 0.487 (multiplicity 2)

Calculated values
Density of states at the Fermi level (states/eV/f.u.): 4.2
Energy relative to the elements (meV per atom): -104
Electronic total energy (eV/atom): -52.673
M_tot (Bohr magnetons per cell): 0.00
Excess energy over the best structure of this formula in the dataset (meV per atom): 36

=====

Computed, not measured: TcRuPt2 at its PBEsol-relaxed geometry at the SCAN level of DFT.

a = 2.707 Å, b = 2.707 Å, c = 7.774 Å
α = 90.00°, β = 90.00°, γ = 90.00°
Space group P4mm (No. 99)
Symmetry-distinct sites (fractional):
Tc 0.000 0.000 0.000 (multiplicity 1)
Ru 0.500 0.500 0.774 (multiplicity 1)
Pt 0.000 0.000 0.520 (multiplicity 1)
Pt 0.500 0.500 0.251 (multiplicity 1)

Calculated values
Density of states at the Fermi level (states/eV/f.u.): 3.4
Energy relative to the elements (meV per atom): -141
Electronic total energy (eV/atom): -52.709
M_tot (Bohr magnetons per cell): 0.00
Excess energy over the best structure of this formula in the dataset (meV per atom): 0